First-principles (meta-GGA SCAN) data for CuRh3 at its PBEsol-relaxed geometry, as listed in Alexandria.

E_form, eV per atom: 0.039
Space-group type: P4/mmm (123)

Cell: 2.676 2.676 7.282 Å, 90.00 90.00 90.00°
Element x y z (fractional)
Cu1 0.000 0.000 0.000
Rh1 0.000 0.000 0.500
Rh2 0.500 0.500 0.247
Rh3 0.500 0.500 0.753

=====

First-principles (meta-GGA SCAN) data for CuTe3Pb at its PBEsol-relaxed geometry, as listed in Alexandria.

Space-group type: Pm-3m (221)
Raw formation energy, eV/atom: 0.166

Cell: 5.142 5.142 5.142 Å, 90.00 90.00 90.00°
Element x y z (fractional)
Cu1 0.000 0.000 0.000
Te1 0.000 0.000 0.500
Te2 0.000 0.500 0.000
Te3 0.500 0.000 0.000
Pb1 0.500 0.500 0.500

=====

First-principles (meta-GGA SCAN) data for KNa2AlMo at its PBEsol-relaxed geometry, as listed in Alexandria.

E_form, eV per atom: 1.762
Space-group type: P4/mmm (123)

Cell: 4.763 4.763 5.125 Å, 90.00 90.00 90.00°
Element x y z (fractional)
K1 0.000 0.000 0.000
Na1 0.000 0.500 0.000
Na2 0.500 0.000 0.000
Al1 0.500 0.500 0.500
Mo1 0.000 0.000 0.500